# 1
## TiBe2Tc (PBE-GGA)

Data for TiBe2Tc after structural relaxation.

abc: 3.584 3.584 3.747
angles: 90.00 90.00 90.00
Space group P4/mmm (No. 123)
One atom of each set of equivalent atoms:
Ti (0.000, 0.000, 0.000) x1
Be (0.000, 0.500, 0.500) x2
Tc (0.500, 0.500, 0.000) x1

N(E_F) ... 2.032 states/eV/f.u.
Distance to the lowest polymorph of the same formula ... 0 meV/atom
Formation energy ... -0.75 eV per formula unit

# 2
## Ti5BeTc4 (PBE-GGA)

Data for Ti5BeTc4 after structural relaxation.

abc: 3.115 3.115 15.079
angles: 90.00 90.00 90.00
Space group P4/mmm (No. 123)
One atom of each set of equivalent atoms:
Ti (0.000, 0.000, 0.000) x1
Ti (0.000, 0.000, 0.206) x2
Ti (0.000, 0.000, 0.406) x2
Be (0.500, 0.500, 0.500) x1
Tc (0.500, 0.500, 0.103) x2
Tc (0.500, 0.500, 0.311) x2

N(E_F) ... 10.811 states/eV/f.u.
Formation energy ... -4.27 eV per formula unit

# 3
## Ti4BeTc (PBE-GGA)

Data for Ti4BeTc after structural relaxation.

abc: 3.071 3.071 9.634
angles: 90.00 90.00 90.00
Space group P4/mmm (No. 123)
One atom of each set of equivalent atoms:
Ti (0.000, 0.000, 0.152) x2
Ti (0.500, 0.500, 0.343) x2
Be (0.500, 0.500, 0.000) x1
Tc (0.000, 0.000, 0.500) x1

N(E_F) ... 7.255 states/eV/f.u.
Distance to the lowest polymorph of the same formula ... 0 meV/atom
Formation energy ... -1.08 eV per formula unit